1.
The following is a DFT calculation (PBE) of a geometry-optimized La12Ho7Pu structure.

a = 11.4537 Å, b = 11.4537 Å, c = 11.4537 Å
α = 116.64°, β = 116.64°, γ = 116.64°
Sites, in units of the cell vectors:
La1 0.0000 0.4070 0.5930
La2 0.0000 0.5930 0.4070
La3 0.0577 0.0577 0.4127
La4 0.0577 0.4127 0.0577
La5 0.4070 0.0000 0.5930
La6 0.4070 0.5930 0.0000
La7 0.4127 0.0577 0.0577
La8 0.5873 0.9423 0.9423
La9 0.5930 0.0000 0.4070
La10 0.5930 0.4070 0.0000
La11 0.9423 0.5873 0.9423
La12 0.9423 0.9423 0.5873
Ho1 0.0000 0.0000 0.0000
Ho2 0.1525 0.3948 0.3948
Ho3 0.3948 0.1525 0.3948
Ho4 0.3948 0.3948 0.1525
Ho5 0.6052 0.6052 0.8475
Ho6 0.6052 0.8475 0.6052
Ho7 0.8475 0.6052 0.6052
Pu1 0.5000 0.5000 0.5000

Output
ρ = 7.283 Mg/m³
energy of formation from the pure elements = 188 meV per atom
density of states at the Fermi level = 1.66 states/eV/atom
space-group type = R-3m (166)

=====

2.
The following is a DFT calculation (PBE) of a geometry-optimized IrRh3O structure.

a = 4.7140 Å, b = 4.7140 Å, c = 4.7140 Å
α = 90.00°, β = 90.00°, γ = 90.00°
Sites, in units of the cell vectors:
Ir1 0.0000 0.0000 0.0000
Rh1 0.0000 0.0000 0.5000
Rh2 0.0000 0.5000 0.0000
Rh3 0.5000 0.0000 0.0000
O1 0.5000 0.5000 0.5000

Output
ρ = 8.194 Mg/m³
ΔE to the lowest computed polymorph = 7.39 eV/f.u.
raw formation energy = 183.4 kJ/mol of atoms
density of states at the Fermi level = 2.11 states/eV/atom
space-group type = Pm-3m (221)

=====

3.
The following is a DFT calculation (PBE) of a geometry-optimized TmCuP structure.

a = 7.4599 Å, b = 7.4599 Å, c = 7.4599 Å
α = 35.70°, β = 35.70°, γ = 35.70°
Sites, in units of the cell vectors:
Tm1 0.0939 0.0939 0.0939
Tm2 0.9061 0.9061 0.9061
Cu1 0.3306 0.3306 0.3306
Cu2 0.6694 0.6694 0.6694
P1 0.2236 0.2236 0.2236
P2 0.7764 0.7764 0.7764

Output
ρ = 6.923 Mg/m³
energy of formation from the pure elements = -554 meV per atom
density of states at the Fermi level = 0.54 states/eV/atom
space-group type = R-3m (166)

=====

4.
The following is a DFT calculation (PBE) of a geometry-optimized ZnCdAgIr structure.

a = 4.5452 Å, b = 4.5452 Å, c = 4.5452 Å
α = 60.00°, β = 60.00°, γ = 60.00°
Sites, in units of the cell vectors:
Zn1 0.0000 0.0000 0.0000
Cd1 0.5000 0.5000 0.5000
Ag1 0.7500 0.7500 0.7500
Ir1 0.2500 0.2500 0.2500

Output
ρ = 11.952 Mg/m³
energy of formation from the pure elements = 72 meV per atom
density of states at the Fermi level = 0.52 states/eV/atom
space-group type = F-43m (216)

=====

5.
The following is a DFT calculation (PBE) of a geometry-optimized Ga2BrCl structure.

a = 6.4929 Å, b = 6.4929 Å, c = 6.4929 Å
α = 49.42°, β = 49.42°, γ = 49.42°
Sites, in units of the cell vectors:
Ga1 0.1448 0.1448 0.1448
Ga2 0.8552 0.8552 0.8552
Br1 0.5000 0.5000 0.5000
Cl1 0.0000 0.0000 0.0000

Output
ρ = 2.916 Mg/m³
ΔE to the lowest computed polymorph = 0.28 eV/f.u.
raw formation energy = -49.2 kJ/mol of atoms
space-group type = R-3m (166)

=====

6.
The following is a DFT calculation (PBE) of a geometry-optimized RbIn4Hg2Bi structure.

a = 5.1457 Å, b = 5.1457 Å, c = 9.9667 Å
α = 90.00°, β = 90.00°, γ = 90.00°
Sites, in units of the cell vectors:
Rb1 0.0000 0.0000 0.0000
In1 0.0000 0.5000 0.3044
In2 0.0000 0.5000 0.6956
In3 0.5000 0.0000 0.3044
In4 0.5000 0.0000 0.6956
Hg1 0.5000 0.5000 0.1445
Hg2 0.5000 0.5000 0.8555
Bi1 0.0000 0.0000 0.5000

Output
ρ = 7.267 Mg/m³
energy of formation from the pure elements = -67 meV per atom
density of states at the Fermi level = 0.30 states/eV/atom
space-group type = P4/mmm (123)

=====

7.
The following is a DFT calculation (PBE) of a geometry-optimized TbHo2Er6Tm structure.

a = 8.6624 Å, b = 8.6624 Å, c = 9.4251 Å
α = 93.88°, β = 93.88°, γ = 117.94°
Sites, in units of the cell vectors:
Tb1 0.0232 0.9768 0.7500
Tb2 0.9768 0.0232 0.2500
Ho1 0.1975 0.3034 0.5448
Ho2 0.3034 0.1975 0.0448
Ho3 0.6966 0.8025 0.9552
Ho4 0.8025 0.6966 0.4552
Er1 0.0187 0.5698 0.6849
Er2 0.1255 0.7509 0.0567
Er3 0.2491 0.8745 0.4433
Er4 0.2904 0.5046 0.8809
Er5 0.4302 0.9813 0.8151
Er6 0.4954 0.7096 0.6191
Er7 0.5046 0.2904 0.3809
Er8 0.5698 0.0187 0.1849
Er9 0.7096 0.4954 0.1191
Er10 0.7509 0.1255 0.5567
Er11 0.8745 0.2491 0.9433
Er12 0.9813 0.4302 0.3151
Tm1 0.4091 0.5909 0.2500
Tm2 0.5909 0.4091 0.7500

Output
ρ = 8.907 Mg/m³
energy of formation from the pure elements = 121 meV per atom
density of states at the Fermi level = 1.37 states/eV/atom
space-group type = C2/c (15)

=====

8.
The following is a DFT calculation (PBE) of a geometry-optimized NaPrTm2S4 structure.

a = 6.8522 Å, b = 3.9129 Å, c = 6.9309 Å
α = 90.00°, β = 108.81°, γ = 90.00°
Sites, in units of the cell vectors:
Na1 0.0000 0.0000 0.0000
Pr1 0.5000 0.5000 0.0000
Tm1 0.0000 0.5000 0.5000
Tm2 0.5000 0.0000 0.5000
S1 0.2388 0.0000 0.7311
S2 0.2545 0.5000 0.2695
S3 0.7455 0.5000 0.7305
S4 0.7612 0.0000 0.2689

Output
ρ = 5.947 Mg/m³
raw formation energy = -183.9 kJ/mol of atoms
density of states at the Fermi level = 0.32 states/eV/atom
space-group type = P2/m (10)

=====

9.
The following is a DFT calculation (PBE) of a geometry-optimized MnV structure.

a = 2.8726 Å, b = 2.8726 Å, c = 2.8726 Å
α = 90.00°, β = 90.00°, γ = 90.00°
Sites, in units of the cell vectors:
Mn1 0.0000 0.0000 0.0000
V1 0.5000 0.5000 0.5000

Output
ρ = 7.417 Mg/m³
energy of formation from the pure elements = -253 meV per atom
density of states at the Fermi level = 0.36 states/eV/atom
space-group type = Pm-3m (221)

=====

10.
The following is a DFT calculation (PBE) of a geometry-optimized Na3Pr structure.

a = 3.4013 Å, b = 6.2120 Å, c = 6.7615 Å
α = 90.00°, β = 90.00°, γ = 90.00°
Sites, in units of the cell vectors:
Na1 0.0000 0.0000 0.0000
Na2 0.0000 0.5000 0.3007
Na3 0.5000 0.5000 0.7999
Pr1 0.5000 0.0000 0.4984

Output
ρ = 2.439 Mg/m³
energy of formation from the pure elements = 205 meV per atom
ΔE to the lowest computed polymorph = 0.00 eV/f.u.
density of states at the Fermi level = 0.66 states/eV/atom
space-group type = Pmm2 (25)

=====

11.
The following is a DFT calculation (PBE) of a geometry-optimized Sr2ScSb4Pd3 structure.

a = 4.5828 Å, b = 4.5828 Å, c = 11.8600 Å
α = 90.00°, β = 90.00°, γ = 90.00°
Sites, in units of the cell vectors:
Sr1 0.0000 0.5000 0.2420
Sr2 0.5000 0.0000 0.7580
Sc1 0.0000 0.0000 0.5000
Sb1 0.0000 0.0000 0.0000
Sb2 0.0000 0.5000 0.6425
Sb3 0.5000 0.0000 0.3575
Sb4 0.5000 0.5000 0.0000
Pd1 0.0000 0.5000 0.8710
Pd2 0.5000 0.0000 0.1290
Pd3 0.5000 0.5000 0.5000

Output
ρ = 6.843 Mg/m³
raw formation energy = -81.4 kJ/mol of atoms
density of states at the Fermi level = 0.37 states/eV/atom
space-group type = P-4m2 (115)

=====

12.
The following is a DFT calculation (PBE) of a geometry-optimized Er2MgSn structure.

a = 4.8203 Å, b = 4.8203 Å, c = 4.4120 Å
α = 90.00°, β = 90.00°, γ = 90.00°
Sites, in units of the cell vectors:
Er1 0.0000 0.5000 0.0000
Er2 0.5000 0.0000 0.0000
Mg1 0.0000 0.0000 0.5000
Sn1 0.5000 0.5000 0.5000

Output
ρ = 7.735 Mg/m³
energy of formation from the pure elements = -421 meV per atom
density of states at the Fermi level = 0.58 states/eV/atom
space-group type = P4/mmm (123)

=====

Number 1: raw total energy -101.7 eV/cell. Number 2: raw total energy -26.4 eV/cell. Number 3: raw total energy -31.3 eV/cell. Number 4: raw total energy -13.6 eV/cell. Number 5: raw total energy -11.6 eV/cell. Number 6: raw total energy -16.9 eV/cell. Number 7: raw total energy -88.8 eV/cell. Number 8: raw total energy -46.8 eV/cell. Number 9: raw total energy -18.8 eV/cell. Number 10: raw total energy -7.9 eV/cell. Number 11: raw total energy -50.2 eV/cell. Number 12: raw total energy -16.4 eV/cell.